Record 1
# Sr3Eu

A PBEsol-optimized structure of Sr3Eu (meta-GGA SCAN, the Alexandria database).

Cell: 5.8179 5.8179 11.5923 Å, 90.00 90.00 90.00°
Space group I4/mmm (No. 139)
Unique sites:
Sr  0.0000  0.0000  0.0000 [2 per cell]
Sr  0.0000  0.5000  0.2500 [4 per cell]
Eu  0.0000  0.0000  0.5000 [2 per cell]

## Properties
crystal system	tetragonal
ΔE_f	45.7	meV/atom
ΔE to the lowest computed polymorph	0.0	kJ per mole of atoms

---

Record 2
# LiLaSn2

A PBEsol-optimized structure of LiLaSn2 (meta-GGA SCAN, the Alexandria database).

Cell: 4.5233 19.0502 4.5109 Å, 90.00 90.00 90.00°
Space group Cmcm (No. 63)
Unique sites:
Li  0.0000  0.1757  0.2500 [4 per cell]
La  0.0000  0.3933  0.2500 [4 per cell]
Sn  0.0000  0.0436  0.2500 [4 per cell]
Sn  0.0000  0.2501  0.7500 [4 per cell]

## Properties
crystal system	orthorhombic
ΔE_f	-747.1	meV/atom